The following is a DFT calculation (PBEsol) of an optimized crystal structure of HgSb2SI.

Properties
ΔE_f (raw) (eV/atom): 0.50
E (eV/cell): -13.332

Lattice parameters (Å, degrees): 5.178 5.178 5.647 90.00 90.00 90.00
Element x y z (fractional)
1 I 0.000 0.000 0.500
2 Hg 0.500 0.500 0.500
3 S 0.000 0.000 0.000
4 Sb 0.500 0.000 0.000
5 Sb 0.000 0.500 0.000